[1]
# GGA-PBE BaLaRhAu, relaxed
data_BaLaRhAu
_chemical_formula_sum 'Ba4 La4 Rh4 Au4'
_symmetry_space_group_name_H-M 'F -4 3 m'
_symmetry_Int_Tables_number 216
_symmetry_space_group_name_Hall 'F -4 2 3'
_cell_length_a 7.556
_cell_length_b 7.556
_cell_length_c 7.556
_cell_angle_alpha 90.00
_cell_angle_beta 90.00
_cell_angle_gamma 90.00
loop_
_atom_site_label
_atom_site_fract_x
_atom_site_fract_y
_atom_site_fract_z
_atom_site_occupancy
Ba1 0.000 0.000 0.000 1
La1 0.000 0.000 0.500 1
Rh1 0.250 0.250 0.250 1
Au1 0.250 0.250 0.750 1
# Formation energy ... -11.20 kcal/mol of atoms
# Magnetization ... 0.00 Bohr magnetons per cell
# Fermi-level density of states ... 0.24 states/eV/atom

---

[2]
# GGA-PBE BaLaSbAu, relaxed
data_BaLaSbAu
_chemical_formula_sum 'Ba4 La4 Sb4 Au4'
_symmetry_space_group_name_H-M 'F -4 3 m'
_symmetry_Int_Tables_number 216
_symmetry_space_group_name_Hall 'F -4 2 3'
_cell_length_a 8.008
_cell_length_b 8.008
_cell_length_c 8.008
_cell_angle_alpha 90.00
_cell_angle_beta 90.00
_cell_angle_gamma 90.00
loop_
_atom_site_label
_atom_site_fract_x
_atom_site_fract_y
_atom_site_fract_z
_atom_site_occupancy
Ba1 0.000 0.000 0.000 1
La1 0.000 0.000 0.500 1
Sb1 0.250 0.250 0.750 1
Au1 0.250 0.250 0.250 1
# Magnetization ... 1.82 Bohr magnetons per cell
# Energy relative to the elements, uncorrected ... -3.215 eV/f.u.
# Fermi-level density of states ... 1.15 states/eV/atom

---

[3]
# GGA-PBE BaLaAuSe3, relaxed
data_BaLaAuSe3
_chemical_formula_sum 'Ba2 La2 Au2 Se6'
_symmetry_space_group_name_H-M 'P 1 21/m 1'
_symmetry_Int_Tables_number 11
_symmetry_space_group_name_Hall '-P 2yb'
_cell_length_a 9.001
_cell_length_b 4.356
_cell_length_c 9.633
_cell_angle_alpha 90.00
_cell_angle_beta 103.84
_cell_angle_gamma 90.00
loop_
_atom_site_label
_atom_site_fract_x
_atom_site_fract_y
_atom_site_fract_z
_atom_site_occupancy
Ba1 0.190 0.250 0.239 1
La1 0.324 0.750 0.831 1
Au1 0.101 0.250 0.587 1
Se1 0.100 0.250 0.865 1
Se2 0.240 0.750 0.512 1
Se3 0.437 0.750 0.157 1
# Magnetization ... 0.00 Bohr magnetons per cell
# Energy relative to the elements, uncorrected ... -9.297 eV/f.u.

---

[4]
# GGA-PBE BaLaSn2Au2, relaxed
data_BaLaSn2Au2
_chemical_formula_sum 'Ba1 La1 Sn2 Au2'
_symmetry_space_group_name_H-M 'P -3 m 1'
_symmetry_Int_Tables_number 164
_symmetry_space_group_name_Hall '-P 3 2"'
_cell_length_a 4.9093
_cell_length_b 4.9093
_cell_length_c 8.3727
_cell_angle_alpha 90.00
_cell_angle_beta 90.00
_cell_angle_gamma 120.00
loop_
_atom_site_label
_atom_site_fract_x
_atom_site_fract_y
_atom_site_fract_z
_atom_site_occupancy
Ba1 0.0000 0.0000 0.0000 1
La1 0.0000 0.0000 0.5000 1
Sn1 0.3333 0.6667 0.7121 1
Au1 0.3333 0.6667 0.2993 1
# Formation energy ... -18.10 kcal/mol of atoms
# Magnetization ... 0.00 Bohr magnetons per cell
# Fermi-level density of states ... 0.50 states/eV/atom

---

Repeat the third record exactly.
# GGA-PBE BaLaAuSe3, relaxed
data_BaLaAuSe3
_chemical_formula_sum 'Ba2 La2 Au2 Se6'
_symmetry_space_group_name_H-M 'P 1 21/m 1'
_symmetry_Int_Tables_number 11
_symmetry_space_group_name_Hall '-P 2yb'
_cell_length_a 9.001
_cell_length_b 4.356
_cell_length_c 9.633
_cell_angle_alpha 90.00
_cell_angle_beta 103.84
_cell_angle_gamma 90.00
loop_
_atom_site_label
_atom_site_fract_x
_atom_site_fract_y
_atom_site_fract_z
_atom_site_occupancy
Ba1 0.190 0.250 0.239 1
La1 0.324 0.750 0.831 1
Au1 0.101 0.250 0.587 1
Se1 0.100 0.250 0.865 1
Se2 0.240 0.750 0.512 1
Se3 0.437 0.750 0.157 1
# Magnetization ... 0.00 Bohr magnetons per cell
# Energy relative to the elements, uncorrected ... -9.297 eV/f.u.

---

> The highest magnetization belongs to which entry?

BaLaSbAu